No. 1
Below is an optimized crystal structure of MnTlFe2Br8, with properties calculated at the GGA-PBE level.

Cell: 6.742 6.742 9.623 Å, 86.26 86.26 69.20°
Last column: magnetic moment on the atom in μB.
Element x y z (fractional)
1 Br 0.242 0.242 0.994  0.17
2 Br 0.237 0.743 0.206  0.14
3 Fe 0.376 0.376 0.787  3.56
4 Br 0.758 0.758 0.006  0.17
5 Tl 0.000 0.000 0.500  0.02
6 Fe 0.624 0.624 0.213  3.56
7 Br 0.298 0.298 0.568  0.18
8 Br 0.763 0.257 0.794  0.14
9 Br 0.257 0.763 0.794  0.14
10 Br 0.702 0.702 0.432  0.18
11 Mn 0.000 0.000 0.000  4.43
12 Br 0.743 0.237 0.206  0.14

## Properties
Volume, Å³ per atom: 33.97
Raw formation energy, meV/atom: -577.7
Crystal system: monoclinic

=====

No. 2
Below is an optimized crystal structure of MnTl2FeBr6, with properties calculated at the GGA-PBE level.

Cell: 7.521 7.521 7.408 Å, 59.50 59.50 59.99°
Last column: magnetic moment on the atom in μB.
Element x y z (fractional)
1 Br 0.012 0.563 0.300  0.08
2 Br 0.070 0.506 0.803  0.08
3 Mn 0.816 0.816 0.552  4.42
4 Br 0.506 0.621 0.803  0.08
5 Fe 0.316 0.316 0.052  3.48
6 Br 0.562 0.126 0.300  0.08
7 Tl 0.067 0.067 0.799  0.01
8 Tl 0.565 0.565 0.304  0.01
9 Br 0.126 0.012 0.300  0.08
10 Br 0.621 0.070 0.803  0.08

## Properties
Volume, Å³ per atom: 29.40
Raw formation energy, meV/atom: -635.0
Crystal system: trigonal

=====

No. 3
Below is an optimized crystal structure of MnTlFe2Br, with properties calculated at the GGA-PBE level.

Cell: 4.437 5.325 4.437 Å, 90.00 90.00 90.00°
Last column: magnetic moment on the atom in μB.
Element x y z (fractional)
1 Mn 0.000 0.000 0.000  -0.20
2 Br 0.500 0.500 0.500  0.08
3 Fe 0.000 0.000 0.500  2.79
4 Fe 0.500 0.000 0.000  2.39
5 Tl 0.000 0.500 0.000  0.00

## Properties
Volume, Å³ per atom: 20.97
Raw formation energy, meV/atom: 1033.8
Crystal system: tetragonal

=====

No. 4
Below is an optimized crystal structure of Mn2TlFeBr, with properties calculated at the GGA-PBE level.

Cell: 4.657 4.433 4.657 Å, 90.00 90.00 90.00°
Last column: magnetic moment on the atom in μB.
Element x y z (fractional)
1 Br 0.000 0.000 0.000  -0.06
2 Mn 0.500 0.000 0.000  3.35
3 Fe 0.000 0.500 0.000  1.90
4 Mn 0.000 0.000 0.500  3.17
5 Tl 0.500 0.500 0.500  -0.04

## Properties
Volume, Å³ per atom: 19.23
Raw formation energy, meV/atom: 979.0
Crystal system: tetragonal

=====

Among the records above, which one has the highest volume? MnTlFe2Br8

=====

Please write out number 4 again, unchanged.
Below is an optimized crystal structure of Mn2TlFeBr, with properties calculated at the GGA-PBE level.

Cell: 4.657 4.433 4.657 Å, 90.00 90.00 90.00°
Last column: magnetic moment on the atom in μB.
Element x y z (fractional)
1 Br 0.000 0.000 0.000  -0.06
2 Mn 0.500 0.000 0.000  3.35
3 Fe 0.000 0.500 0.000  1.90
4 Mn 0.000 0.000 0.500  3.17
5 Tl 0.500 0.500 0.500  -0.04

## Properties
Volume, Å³ per atom: 19.23
Raw formation energy, meV/atom: 979.0
Crystal system: tetragonal

=====

Among the records above, which one has the highest raw formation energy? MnTlFe2Br

=====

What is the volume in the second record? 29.40 Å³ per atom